(1)
{"formula": "CaNiMo", "functional": "GGA-PBE", "state": "optimized geometry", "lattice": [[3.883, 0.000, 0.000], [0.000, 3.883, 0.000], [0.000, 0.000, 7.989]], "species": ["Ni", "Ni", "Mo", "Mo", "Ca", "Ca"], "frac_coords": [[0.000, 0.500, 0.291], [0.500, 0.000, 0.709], [0.000, 0.000, 0.500], [0.500, 0.500, 0.500], [0.000, 0.500, 0.842], [0.500, 0.000, 0.158]], "energy_ev_per_atom": -6.02, "total_magnetization_mub_per_cell": 0.0}

***

(2)
{"formula": "CaNi2Mo", "functional": "GGA-PBE", "state": "optimized geometry", "lattice": [[-4.114, 0.445, 1.469], [-2.136, -3.473, 1.632], [-0.833, -0.242, 4.305]], "species": ["Ni", "Ni", "Mo", "Ca"], "frac_coords": [[0.000, 0.000, 0.000], [0.250, 0.250, 0.250], [0.750, 0.750, 0.750], [0.500, 0.500, 0.500]], "energy_ev_per_atom": -5.51, "total_magnetization_mub_per_cell": 0.0}

***

(3)
{"formula": "CaNiMo", "functional": "GGA-PBE", "state": "optimized geometry", "lattice": [[6.136, 0.035, -0.012], [-1.698, 5.862, -0.001], [0.001, 0.939, 3.179]], "species": ["Ni", "Ni", "Ca", "Ca", "Mo", "Mo"], "frac_coords": [[0.141, 0.617, 0.490], [0.862, 0.407, 0.095], [0.002, 0.012, 0.793], [0.502, 0.012, 0.793], [0.655, 0.591, 0.503], [0.349, 0.434, 0.082]], "energy_ev_per_atom": -5.93, "total_magnetization_mub_per_cell": 0.0}

***

(4)
{"formula": "CaNi2Mo", "functional": "GGA-PBE", "state": "optimized geometry", "lattice": [[-2.397, -3.216, -1.523], [-0.042, -4.258, -0.530], [-2.843, -1.349, 5.325]], "species": ["Ni", "Ni", "Mo", "Ca"], "frac_coords": [[0.996, 0.996, 0.078], [0.504, 0.504, 0.422], [0.250, 0.250, 0.250], [0.750, 0.750, 0.750]], "energy_ev_per_atom": -5.80, "total_magnetization_mub_per_cell": 0.0}

***

(5)
{"formula": "CaNiMo", "functional": "GGA-PBE", "state": "optimized geometry", "lattice": [[5.225, 0.408, -0.121], [-0.008, 5.753, 0.522], [0.002, 1.153, 4.018]], "species": ["Ni", "Ni", "Ca", "Ca", "Mo", "Mo"], "frac_coords": [[0.988, 0.499, 0.214], [0.753, 0.598, 0.665], [0.264, 0.967, 0.480], [0.763, 0.061, 0.933], [0.502, 0.523, 0.202], [0.240, 0.425, 0.751]], "energy_ev_per_atom": -5.98, "total_magnetization_mub_per_cell": 0.0}

***

(6)
{"formula": "CaNiMo", "functional": "GGA-PBE", "state": "optimized geometry", "lattice": [[4.114, 0.233, 0.000], [3.706, 7.630, -0.001], [0.000, 0.001, 4.049]], "species": ["Ni", "Ni", "Ca", "Ca", "Mo", "Mo"], "frac_coords": [[0.836, 0.510, 0.054], [0.537, 0.309, 0.056], [0.156, 0.191, 0.554], [0.979, 0.869, 0.054], [0.658, 0.691, 0.554], [0.344, 0.503, 0.556]], "energy_ev_per_atom": -5.94, "total_magnetization_mub_per_cell": 0.0}

***

(7)
{"formula": "CaNiMo", "functional": "GGA-PBE", "state": "optimized geometry", "lattice": [[6.336, 0.000, 0.000], [5.600, 2.964, 0.010], [0.736, 0.173, 2.959]], "species": ["Ni", "Mo", "Ca"], "frac_coords": [[0.694, 0.694, 0.306], [0.299, 0.299, 0.701], [0.007, 0.007, 0.993]], "energy_ev_per_atom": -5.84, "total_magnetization_mub_per_cell": 0.0}

***

(8)
{"formula": "Ca2NiMo", "functional": "GGA-PBE", "state": "optimized geometry", "lattice": [[-1.073, -1.428, 5.908], [4.363, -2.730, 3.407], [-1.770, 4.856, -3.374]], "species": ["Ni", "Mo", "Ca", "Ca"], "frac_coords": [[0.283, 0.783, 0.500], [0.439, 0.439, 0.000], [0.034, 0.034, 0.000], [0.743, 0.243, 0.500]], "energy_ev_per_atom": -4.71, "total_magnetization_mub_per_cell": 1.9}

***

(9)
{"formula": "CaNi2Mo", "functional": "GGA-PBE", "state": "optimized geometry", "lattice": [[5.130, -0.003, -0.004], [4.431, 2.584, -0.004], [1.145, 0.309, 4.610]], "species": ["Ni", "Ni", "Mo", "Ca"], "frac_coords": [[0.022, 0.022, 0.049], [0.720, 0.720, 0.716], [0.277, 0.277, 0.174], [0.481, 0.481, 0.561]], "energy_ev_per_atom": -5.81, "total_magnetization_mub_per_cell": 0.0}

***

(10)
{"formula": "CaNiMo", "functional": "GGA-PBE", "state": "optimized geometry", "lattice": [[6.565, 0.014, 0.003], [1.392, 5.971, 0.007], [-0.001, -0.708, 2.816]], "species": ["Ni", "Ni", "Ca", "Ca", "Mo", "Mo"], "frac_coords": [[0.945, 0.467, 0.695], [0.546, 0.324, 0.624], [0.310, 0.057, 0.990], [0.853, 0.005, 0.965], [0.619, 0.631, 0.277], [0.237, 0.588, 0.256]], "energy_ev_per_atom": -5.83, "total_magnetization_mub_per_cell": 0.0}

***

(11)
{"formula": "CaNiMo", "functional": "GGA-PBE", "state": "optimized geometry", "lattice": [[-1.461, 0.657, -5.110], [-5.104, -1.934, -0.102], [-1.441, 3.756, 0.895]], "species": ["Ni", "Ni", "Ca", "Ca", "Mo", "Mo"], "frac_coords": [[0.001, 0.591, 0.291], [0.836, 0.434, 0.791], [0.161, 0.072, 0.291], [0.676, 0.953, 0.791], [0.554, 0.481, 0.291], [0.283, 0.543, 0.791]], "energy_ev_per_atom": -6.03, "total_magnetization_mub_per_cell": 0.0}

***

(12)
{"formula": "CaNiMo", "functional": "GGA-PBE", "state": "optimized geometry", "lattice": [[-4.149, -3.455, 1.437], [6.720, -1.448, -2.199], [1.553, 2.144, 3.335]], "species": ["Ni", "Ni", "Ca", "Ca", "Mo", "Mo"], "frac_coords": [[0.068, 0.590, 0.454], [0.436, 0.774, 0.138], [0.895, 0.831, 0.867], [0.608, 0.187, 0.724], [0.442, 0.441, 0.141], [0.061, 0.250, 0.450]], "energy_ev_per_atom": -5.94, "total_magnetization_mub_per_cell": 0.0}

***

| no. | offset from the most stable computed form (meV per atom) | formation energy (eV/atom) |
| --- | --- | --- |
| 1 | 13 | 0.18 |
| 2 | 472 | 0.59 |
| 3 | 105 | 0.28 |
| 4 | 178 | 0.29 |
| 5 | 57 | 0.23 |
| 6 | 97 | 0.27 |
| 7 | 195 | 0.37 |
| 8 | 109 | 0.45 |
| 9 | 170 | 0.29 |
| 10 | 207 | 0.38 |
| 11 | 0 | 0.17 |
| 12 | 92 | 0.26 |